Entry 1:
The following is a DFT calculation (PBE-GGA) of an optimized crystal structure of Ce2AlCo5Si2.

Computed properties:
* total DFT energy (no corrections): -131.3 eV/cell
* spin magnetization: 0.92 μB/cell
* crystal system: tetragonal
* formation energy (no corrections): -0.37 eV per atom

a b c (Å): 9.5453 9.5453 3.2566
angles (deg): 90.00 90.00 90.00
Element x y z (fractional)
Ce 0.1800 0.3200 0.0000
Ce 0.3200 0.8200 0.0000
Ce 0.6800 0.1800 0.0000
Ce 0.8200 0.6800 0.0000
Al 0.0000 0.0000 0.0000
Al 0.5000 0.5000 0.0000
Co 0.0000 0.5000 0.5000
Co 0.0636 0.7815 0.5000
Co 0.2185 0.0636 0.5000
Co 0.2815 0.5636 0.5000
Co 0.4364 0.2815 0.5000
Co 0.5000 0.0000 0.5000
Co 0.5636 0.7185 0.5000
Co 0.7185 0.4364 0.5000
Co 0.7815 0.9364 0.5000
Co 0.9364 0.2185 0.5000
Si 0.1173 0.6173 0.0000
Si 0.3827 0.1173 0.0000
Si 0.6173 0.8827 0.0000
Si 0.8827 0.3827 0.0000

Entry 2:
The following is a DFT calculation (PBE-GGA) of an optimized crystal structure of PrGa3Rh.

Computed properties:
* total DFT energy (no corrections): -24.3 eV/cell
* spin magnetization: 0.00 μB/cell
* crystal system: tetragonal

a b c (Å): 4.3419 4.3419 5.2964
angles (deg): 90.00 90.00 90.00
Element x y z (fractional)
Pr 0.0000 0.0000 0.0000
Ga 0.0000 0.5000 0.4857
Ga 0.5000 0.0000 0.4857
Ga 0.5000 0.5000 0.7867
Rh 0.5000 0.5000 0.2491

Entry 3:
The following is a DFT calculation (PBE-GGA) of an optimized crystal structure of Ce3AlFeS7.

Computed properties:
* total DFT energy (no corrections): -155.2 eV/cell
* spin magnetization: 8.50 μB/cell
* crystal system: hexagonal
* formation energy (no corrections): -1.56 eV per atom

a b c (Å): 9.7561 9.7561 6.1405
angles (deg): 90.00 90.00 120.00
Element x y z (fractional)
Ce 0.1540 0.7860 0.0000
Ce 0.2140 0.3679 0.0000
Ce 0.3679 0.1540 0.5000
Ce 0.6321 0.8460 0.0000
Ce 0.7860 0.6321 0.5000
Ce 0.8460 0.2140 0.5000
Al 0.3333 0.6667 0.5748
Al 0.6667 0.3333 0.0748
Fe 0.0000 0.0000 0.1739
Fe 0.0000 0.0000 0.6739
S 0.0899 0.5247 0.7219
S 0.0986 0.8683 0.4198
S 0.1317 0.2303 0.4198
S 0.2303 0.0986 0.9198
S 0.3333 0.6667 0.2109
S 0.4348 0.9101 0.7219
S 0.4753 0.5652 0.7219
S 0.5247 0.4348 0.2219
S 0.5652 0.0899 0.2219
S 0.6667 0.3333 0.7109
S 0.7697 0.9014 0.4198
S 0.8683 0.7697 0.9198
S 0.9014 0.1317 0.9198
S 0.9101 0.4753 0.2219

Entry 4:
The following is a DFT calculation (PBE-GGA) of an optimized crystal structure of TbErScCd.

Computed properties:
* energy above the lowest structure with this stoichiometry: 84 meV/atom
* total DFT energy (no corrections): -16.6 eV/cell
* spin magnetization: 0.01 μB/cell
* crystal system: cubic

a b c (Å): 5.3238 5.3238 5.3238
angles (deg): 60.00 60.00 60.00
Element x y z (fractional)
Tb 0.0000 0.0000 0.0000
Er 0.5000 0.5000 0.5000
Sc 0.7500 0.7500 0.7500
Cd 0.2500 0.2500 0.2500

Entry 5:
The following is a DFT calculation (PBE-GGA) of an optimized crystal structure of LaPrZnRu.

Computed properties:
* energy above the lowest structure with this stoichiometry: 50 meV/atom
* total DFT energy (no corrections): -21.1 eV/cell
* spin magnetization: 0.00 μB/cell
* crystal system: cubic

a b c (Å): 5.1434 5.1434 5.1434
angles (deg): 60.00 60.00 60.00
Element x y z (fractional)
La 0.0000 0.0000 0.0000
Pr 0.5000 0.5000 0.5000
Zn 0.2500 0.2500 0.2500
Ru 0.7500 0.7500 0.7500

Entry 6:
The following is a DFT calculation (PBE-GGA) of an optimized crystal structure of EuHoCdGa.

Computed properties:
* total DFT energy (no corrections): -20.4 eV/cell
* spin magnetization: 7.25 μB/cell
* crystal system: cubic

a b c (Å): 5.2849 5.2849 5.2849
angles (deg): 60.00 60.00 60.00
Element x y z (fractional)
Eu 0.0000 0.0000 0.0000
Ho 0.5000 0.5000 0.5000
Cd 0.7500 0.7500 0.7500
Ga 0.2500 0.2500 0.2500

Copy entry 5 word for word.
The following is a DFT calculation (PBE-GGA) of an optimized crystal structure of LaPrZnRu.

Computed properties:
* energy above the lowest structure with this stoichiometry: 50 meV/atom
* total DFT energy (no corrections): -21.1 eV/cell
* spin magnetization: 0.00 μB/cell
* crystal system: cubic

a b c (Å): 5.1434 5.1434 5.1434
angles (deg): 60.00 60.00 60.00
Element x y z (fractional)
La 0.0000 0.0000 0.0000
Pr 0.5000 0.5000 0.5000
Zn 0.2500 0.2500 0.2500
Ru 0.7500 0.7500 0.7500